Material: Sr2LaCl
Method: DFT, GGA-PBE
State: relaxed

a b c (Å): 9.619 9.619 7.023
angles (deg): 90.00 90.00 90.00
Sites, in units of the cell vectors:
Sr 0.159 0.250 0.125
Sr 0.250 0.659 0.375
Sr 0.250 0.841 0.875
Sr 0.341 0.250 0.625
Sr 0.659 0.750 0.625
Sr 0.750 0.159 0.875
Sr 0.750 0.341 0.375
Sr 0.841 0.750 0.125
La 0.000 0.000 0.500
La 0.000 0.500 0.750
La 0.500 0.000 0.250
La 0.500 0.500 0.000
Cl 0.000 0.000 0.000
Cl 0.000 0.500 0.250
Cl 0.500 0.000 0.750
Cl 0.500 0.500 0.500

Properties
Excess energy over the best structure of this formula in the dataset: 0.312 eV per atom
SG: I-42d

Material: PrNd2YTh
Method: DFT, GGA-PBE
State: relaxed

a b c (Å): 8.653 6.528 6.452
angles (deg): 90.00 97.86 90.00
Sites, in units of the cell vectors:
Pr 0.000 0.000 0.000
Pr 0.000 0.000 0.500
Nd 0.314 0.311 0.204
Nd 0.314 0.689 0.704
Nd 0.686 0.311 0.296
Nd 0.686 0.689 0.796
Y 0.500 0.171 0.750
Y 0.500 0.829 0.250
Th 0.000 0.451 0.750
Th 0.000 0.549 0.250

Properties
Calculated formation energy: 0.298 eV per atom
SG: P2/c

Material: InCu2Pb
Method: DFT, GGA-PBE
State: relaxed

a b c (Å): 3.393 3.393 25.452
angles (deg): 90.00 90.00 120.00
Sites, in units of the cell vectors:
In 0.000 0.000 0.000
In 0.333 0.667 0.667
In 0.667 0.333 0.333
Cu 0.000 0.000 0.259
Cu 0.000 0.000 0.534
Cu 0.333 0.667 0.201
Cu 0.333 0.667 0.926
Cu 0.667 0.333 0.593
Cu 0.667 0.333 0.868
Pb 0.000 0.000 0.785
Pb 0.333 0.667 0.452
Pb 0.667 0.333 0.118

Properties
Calculated formation energy: 0.240 eV per atom
SG: R3m

Material: Ga3Bi3Au8
Method: DFT, GGA-PBE
State: relaxed

a b c (Å): 5.989 7.332 7.355
angles (deg): 109.75 91.94 92.85
Sites, in units of the cell vectors:
Ga 0.000 0.000 0.000
Ga 0.188 0.175 0.599
Ga 0.812 0.825 0.401
Bi 0.000 0.500 0.000
Bi 0.291 0.709 0.618
Bi 0.709 0.291 0.382
Au 0.185 0.300 0.292
Au 0.212 0.876 0.279
Au 0.386 0.118 0.909
Au 0.488 0.450 0.794
Au 0.512 0.550 0.206
Au 0.614 0.882 0.091
Au 0.788 0.124 0.721
Au 0.815 0.700 0.708

Properties
Calculated formation energy: -0.080 eV per atom
SG: P-1

Material: YPuSc2Bi4
Method: DFT, GGA-PBE
State: relaxed

a b c (Å): 7.593 4.391 7.612
angles (deg): 90.00 109.41 90.00
Sites, in units of the cell vectors:
Y 0.000 0.000 0.000
Pu 0.000 0.500 0.500
Sc 0.500 0.000 0.500
Sc 0.500 0.500 0.000
Bi 0.266 0.500 0.254
Bi 0.268 0.000 0.757
Bi 0.732 0.000 0.243
Bi 0.734 0.500 0.746

Properties
Calculated formation energy: -0.628 eV per atom
SG: P2/m

Material: CsHg2Bi2
Method: DFT, GGA-PBE
State: relaxed

a b c (Å): 5.752 5.752 11.350
angles (deg): 90.00 90.00 90.00
Sites, in units of the cell vectors:
Cs 0.000 0.000 0.000
Cs 0.500 0.500 0.500
Hg 0.000 0.500 0.250
Hg 0.000 0.500 0.750
Hg 0.500 0.000 0.250
Hg 0.500 0.000 0.750
Bi 0.000 0.000 0.365
Bi 0.000 0.000 0.635
Bi 0.500 0.500 0.135
Bi 0.500 0.500 0.865

Properties
Excess energy over the best structure of this formula in the dataset: 0.012 eV per atom
Calculated formation energy: -0.180 eV per atom
SG: I4/mmm

Material: La2MnAsC
Method: DFT, GGA-PBE
State: relaxed

a b c (Å): 5.313 5.313 3.869
angles (deg): 90.00 90.00 90.00
Sites, in units of the cell vectors:
La 0.000 0.500 0.000
La 0.500 0.000 0.000
Mn 0.000 0.000 0.500
As 0.500 0.500 0.500
C 0.000 0.000 0.000

Properties
Calculated formation energy: -0.502 eV per atom
SG: P4/mmm

Material: Y3Tl3CrS8
Method: DFT, GGA-PBE
State: relaxed

a b c (Å): 8.714 8.714 8.714
angles (deg): 53.30 53.30 53.30
Sites, in units of the cell vectors:
Y 0.000 0.500 0.500
Y 0.500 0.000 0.500
Y 0.500 0.500 0.000
Tl 0.000 0.000 0.500
Tl 0.000 0.500 0.000
Tl 0.500 0.000 0.000
Cr 0.000 0.000 0.000
S 0.213 0.213 0.761
S 0.213 0.761 0.213
S 0.239 0.787 0.787
S 0.265 0.265 0.265
S 0.735 0.735 0.735
S 0.761 0.213 0.213
S 0.787 0.239 0.787
S 0.787 0.787 0.239

Properties
SG: R-3m

Material: MgMnAl2
Method: DFT, GGA-PBE
State: relaxed

a b c (Å): 9.240 2.949 4.823
angles (deg): 90.00 104.79 90.00
Sites, in units of the cell vectors:
Mg 0.000 0.000 0.000
Mg 0.500 0.500 0.000
Mn 0.000 0.500 0.500
Mn 0.500 0.000 0.500
Al 0.233 0.000 0.720
Al 0.267 0.500 0.280
Al 0.733 0.500 0.720
Al 0.767 0.000 0.280

Properties
Calculated formation energy: -0.007 eV per atom
SG: C2/m

Material: Na2AcBrO2
Method: DFT, GGA-PBE
State: relaxed

a b c (Å): 4.772 4.772 6.642
angles (deg): 90.00 90.00 90.00
Sites, in units of the cell vectors:
Na 0.000 0.000 0.202
Na 0.000 0.000 0.798
Ac 0.500 0.500 0.000
Br 0.500 0.500 0.500
O 0.000 0.500 0.000
O 0.500 0.000 0.000

Properties
SG: P4/mmm

Material: FeSb
Method: DFT, GGA-PBE
State: relaxed

a b c (Å): 3.253 3.253 8.560
angles (deg): 90.00 90.00 120.00
Sites, in units of the cell vectors:
Fe 0.333 0.667 0.087
Fe 0.667 0.333 0.913
Sb 0.333 0.667 0.689
Sb 0.667 0.333 0.311

Properties
SG: P-3m1

Material: Te3Os
Method: DFT, GGA-PBE
State: relaxed

a b c (Å): 3.764 3.764 25.986
angles (deg): 90.00 90.00 120.00
Sites, in units of the cell vectors:
Te 0.000 0.000 0.000
Te 0.000 0.000 0.226
Te 0.000 0.000 0.774
Te 0.333 0.667 0.440
Te 0.333 0.667 0.667
Te 0.333 0.667 0.893
Te 0.667 0.333 0.107
Te 0.667 0.333 0.333
Te 0.667 0.333 0.560
Os 0.000 0.000 0.500
Os 0.333 0.667 0.167
Os 0.667 0.333 0.833

Properties
SG: R-3m

| no. | DFT total energy (Ry per atom) |
| --- | --- |
| 1 | -0.222 |
| 2 | -0.393 |
| 3 | -0.251 |
| 4 | -0.252 |
| 5 | -0.496 |
| 6 | -0.149 |
| 7 | -0.520 |
| 8 | -0.430 |
| 9 | -0.336 |
| 10 | -0.370 |
| 11 | -0.439 |
| 12 | -0.358 |